# 1
Rb2CdSeI6, relaxed, DFT PBE; raw total energy = -2.23 eV per atom; formation energy from raw total energies = -15.30 kcal/mol of atoms; SG = I4/mmm, No. 139
1.0
-4.258 4.258 5.990
4.258 -4.258 5.990
4.258 4.258 -5.990
Rb Cd Se I
2 1 1 6
direct
0.250 0.750 0.500 Rb
0.750 0.250 0.500 Rb
0.000 0.000 0.000 Cd
0.500 0.500 0.000 Se
0.244 0.244 0.488 I
0.244 0.756 0.000 I
0.265 0.265 0.000 I
0.735 0.735 0.000 I
0.756 0.244 0.000 I
0.756 0.756 0.512 I



# 2
MgTe2Br, relaxed, DFT PBE; distance to the lowest polymorph of the same formula = 407.3 meV per atom; raw total energy = -2.61 eV per atom; formation energy from raw total energies = -5.09 kcal/mol of atoms; SG = I-42d, No. 122
1.0
-2.427 2.427 11.159
2.427 -2.427 11.159
2.427 2.427 -11.159
Mg Te Br
2 4 2
direct
0.000 0.000 0.000 Mg
0.750 0.250 0.500 Mg
0.027 0.625 0.902 Te
0.375 0.277 0.402 Te
0.723 0.125 0.098 Te
0.875 0.973 0.598 Te
0.250 0.750 0.500 Br
0.500 0.500 0.000 Br



# 3
RbBaPmBr6, relaxed, DFT PBE; raw total energy = -3.93 eV per atom; formation energy from raw total energies = -45.36 kcal/mol of atoms; SG = P-31c, No. 163
1.0
8.115 0.000 0.000
-4.058 7.028 0.000
0.000 0.000 14.247
Rb Ba Pm Br
2 2 2 12
direct
0.000 0.000 0.000 Rb
0.000 0.000 0.500 Rb
0.333 0.667 0.250 Ba
0.667 0.333 0.750 Ba
0.333 0.667 0.750 Pm
0.667 0.333 0.250 Pm
0.033 0.383 0.634 Br
0.033 0.650 0.866 Br
0.350 0.383 0.866 Br
0.350 0.967 0.634 Br
0.383 0.033 0.134 Br
0.383 0.350 0.366 Br
0.617 0.650 0.634 Br
0.617 0.967 0.866 Br
0.650 0.033 0.366 Br
0.650 0.617 0.134 Br
0.967 0.350 0.134 Br
0.967 0.617 0.366 Br



# 4
RbYCu4, relaxed, DFT PBE; raw total energy = -3.64 eV per atom; SG = R3m, No. 160
1.0
2.661 1.536 4.658
-2.661 1.536 4.658
0.000 -3.073 4.658
Rb Y Cu
1 1 4
direct
0.000 0.000 0.000 Rb
0.757 0.757 0.757 Y
0.375 0.375 0.879 Cu
0.375 0.879 0.375 Cu
0.394 0.394 0.394 Cu
0.879 0.375 0.375 Cu



The evaluated calculated volume for the records listed, in turn: 434 263 813 114 Å³/cell.